(1)
Below is crystalline PmNd3Bi4 at its relaxed geometry, with properties calculated at the PBE level.

a = 4.6044 Å, b = 7.9696 Å, c = 7.9696 Å
α = 109.47°, β = 90.00°, γ = 90.00°
With the nearest neighbours (Å) after each atom.
Sites, in units of the cell vectors:
Nd: 0.0000 0.5000 0.0000  6 Bi 3.25
Nd: 0.0000 0.0000 0.5000  6 Bi 3.25
Nd: 0.5000 0.5000 0.5000  6 Bi 3.26
Bi: 0.5000 0.7506 0.2494  1 Pm 3.25, 5 Nd 3.25-3.26
Bi: 0.0000 0.2488 0.2488  2 Pm 3.25, 4 Nd 3.25-3.26
Bi: 0.5000 0.2494 0.7506  1 Pm 3.25, 5 Nd 3.25-3.26
Bi: 0.0000 0.7512 0.7512  2 Pm 3.25, 4 Nd 3.25-3.26
Pm: 0.5000 0.0000 0.0000  6 Bi 3.25

Computed properties:
Spin magnetization: 0.0 μB/cell
Electronic total energy: -5.27 eV/atom
Energy relative to the lowest polymorph listed for this composition: 6.0 meV per atom
SG: Cmmm (65)



(2)
Below is crystalline Pm5NdBi6 at its relaxed geometry, with properties calculated at the PBE level.

a = 7.9404 Å, b = 7.9404 Å, c = 7.9383 Å
α = 99.59°, β = 99.59°, γ = 120.00°
With the nearest neighbours (Å) after each atom.
Sites, in units of the cell vectors:
Nd: 0.0000 0.0000 0.0000  6 Bi 3.25
Bi: 0.9164 0.5821 0.7493  5 Pm 3.24, 1 Nd 3.25
Bi: 0.2509 0.2509 0.7495  5 Pm 3.23-3.24, 1 Nd 3.25
Bi: 0.7491 0.7491 0.2505  5 Pm 3.23-3.24, 1 Nd 3.25
Bi: 0.4179 0.0836 0.2507  5 Pm 3.24, 1 Nd 3.25
Bi: 0.5821 0.9164 0.7493  5 Pm 3.24, 1 Nd 3.25
Bi: 0.0836 0.4179 0.2507  5 Pm 3.24, 1 Nd 3.25
Pm: 0.3333 0.6667 0.0000  6 Bi 3.24
Pm: 0.1663 0.8337 0.5000  6 Bi 3.24
Pm: 0.5000 0.5000 0.5000  6 Bi 3.23-3.24
Pm: 0.6667 0.3333 0.0000  6 Bi 3.24
Pm: 0.8337 0.1663 0.5000  6 Bi 3.24

Computed properties:
Spin magnetization: 0.0 μB/cell
Electronic total energy: -5.26 eV/atom
SG: C2/m (12)



(3)
Below is crystalline Pm5Nd2Bi4 at its relaxed geometry, with properties calculated at the PBE level.

a = 3.5573 Å, b = 8.4133 Å, c = 15.2222 Å
α = 121.97°, β = 96.71°, γ = 90.00°
With the nearest neighbours (Å) after each atom.
Sites, in units of the cell vectors:
Nd: 0.2662 0.3505 0.5323  6 Pm 3.38-3.67, 1 Bi 3.49, 4 Nd 3.56-3.61
Nd: 0.7338 0.6495 0.4677  6 Pm 3.38-3.67, 1 Bi 3.49, 4 Nd 3.56-3.61
Bi: 0.4009 0.5467 0.8019  5 Pm 3.30-3.37, 1 Nd 3.49, 2 Bi 3.56
Bi: 0.9506 0.2117 0.9011  4 Pm 3.20-3.38, 2 Bi 3.56
Bi: 0.5991 0.4533 0.1981  5 Pm 3.30-3.37, 1 Nd 3.49, 2 Bi 3.56
Bi: 0.0494 0.7883 0.0989  4 Pm 3.20-3.38, 2 Bi 3.56
Pm: 0.5000 0.0000 0.0000  6 Bi 3.37-3.38, 2 Pm 3.56
Pm: 0.1686 0.8439 0.3372  3 Bi 3.32-3.38, 2 Pm 3.56, 3 Nd 3.63-3.67
Pm: 0.8604 0.7759 0.7209  3 Bi 3.20-3.30, 1 Nd 3.38, 2 Pm 3.56
Pm: 0.1396 0.2241 0.2791  3 Bi 3.20-3.30, 1 Nd 3.38, 2 Pm 3.56
Pm: 0.8314 0.1561 0.6628  3 Bi 3.32-3.38, 2 Pm 3.56, 3 Nd 3.63-3.67

Computed properties:
Spin magnetization: 0.0 μB/cell
Electronic total energy: -4.66 eV/atom
SG: C2/m (12)



(4)
Below is crystalline Pm4NdBi3 at its relaxed geometry, with properties calculated at the PBE level.

a = 4.1230 Å, b = 8.8459 Å, c = 8.8488 Å
α = 119.98°, β = 103.47°, γ = 90.00°
With the nearest neighbours (Å) after each atom.
Sites, in units of the cell vectors:
Pm: 0.3675 0.5711 0.7351  1 Nd 3.27, 5 Bi 3.30-3.41, 1 Pm 3.60
Pm: 0.3676 0.1643 0.7353  1 Nd 3.27, 5 Bi 3.30-3.41, 1 Pm 3.60
Pm: 0.6325 0.4289 0.2649  1 Nd 3.27, 5 Bi 3.30-3.41, 1 Pm 3.60
Pm: 0.6324 0.8357 0.2647  1 Nd 3.27, 5 Bi 3.30-3.41, 1 Pm 3.60
Bi: 0.1799 0.1798 0.3598  6 Pm 3.30-3.41, 2 Nd 3.36
Bi: 0.8201 0.8202 0.6402  6 Pm 3.30-3.41, 2 Nd 3.36
Bi: 0.0000 0.5000 0.0000  8 Pm 3.36
Nd: 0.5000 0.0000 0.0000  4 Pm 3.27, 4 Bi 3.36

Computed properties:
Spin magnetization: 0.0 μB/cell
Electronic total energy: -4.91 eV/atom
SG: Immm (71)



(5)
Below is crystalline Pm3NdBi3 at its relaxed geometry, with properties calculated at the PBE level.

a = 9.6470 Å, b = 9.6470 Å, c = 9.6470 Å
α = 90.00°, β = 90.00°, γ = 90.00°
With the nearest neighbours (Å) after each atom.
Sites, in units of the cell vectors:
Bi: 0.8759 0.9996 0.2488  6 Pm 3.21-3.47, 2 Nd 3.23-3.47
Bi: 0.9996 0.2488 0.8759  6 Pm 3.21-3.47, 2 Nd 3.23-3.47
Bi: 0.2512 0.1241 0.4996  6 Pm 3.21-3.47, 2 Nd 3.23-3.47
Bi: 0.6241 0.0004 0.7488  6 Pm 3.21-3.47, 2 Nd 3.23-3.47
Bi: 0.1241 0.4996 0.2512  6 Pm 3.21-3.47, 2 Nd 3.23-3.47
Bi: 0.5004 0.7512 0.3759  6 Pm 3.21-3.47, 2 Nd 3.23-3.47
Bi: 0.0004 0.7488 0.6241  6 Pm 3.21-3.47, 2 Nd 3.23-3.47
Bi: 0.7512 0.3759 0.5004  6 Pm 3.21-3.47, 2 Nd 3.23-3.47
Bi: 0.7488 0.6241 0.0004  6 Pm 3.21-3.47, 2 Nd 3.23-3.47
Bi: 0.4996 0.2512 0.1241  6 Pm 3.21-3.47, 2 Nd 3.23-3.47
Bi: 0.3759 0.5004 0.7512  6 Pm 3.21-3.47, 2 Nd 3.23-3.47
Bi: 0.2488 0.8759 0.9996  6 Pm 3.21-3.47, 2 Nd 3.23-3.47
Pm: 0.9278 0.9278 0.9278  6 Bi 3.21-3.47
Pm: 0.6791 0.6791 0.6791  6 Bi 3.22-3.47
Pm: 0.3209 0.1791 0.8209  6 Bi 3.22-3.47
Pm: 0.5722 0.0722 0.4278  6 Bi 3.21-3.47
Pm: 0.8209 0.3209 0.1791  6 Bi 3.22-3.47
Pm: 0.3213 0.8213 0.6787  6 Bi 3.22-3.46
Pm: 0.0722 0.4278 0.5722  6 Bi 3.21-3.47
Pm: 0.4278 0.5722 0.0722  6 Bi 3.21-3.47
Pm: 0.1787 0.1787 0.1787  6 Bi 3.22-3.46
Pm: 0.1791 0.8209 0.3209  6 Bi 3.22-3.47
Pm: 0.6787 0.3213 0.8213  6 Bi 3.22-3.46
Pm: 0.8213 0.6787 0.3213  6 Bi 3.22-3.46
Nd: 0.9288 0.0712 0.5712  6 Bi 3.23-3.47
Nd: 0.0712 0.5712 0.9288  6 Bi 3.23-3.47
Nd: 0.5712 0.9288 0.0712  6 Bi 3.23-3.47
Nd: 0.4288 0.4288 0.4288  6 Bi 3.23-3.47

Computed properties:
Spin magnetization: 0.0 μB/cell
Electronic total energy: -5.21 eV/atom
Energy relative to the lowest polymorph listed for this composition: 0.0 meV per atom
SG: P2_13 (198)



(6)
Below is crystalline Pm4Nd3Bi8 at its relaxed geometry, with properties calculated at the PBE level.

a = 9.1322 Å, b = 9.1462 Å, c = 9.1462 Å
α = 90.01°, β = 119.95°, γ = 119.95°
With the nearest neighbours (Å) after each atom.
Sites, in units of the cell vectors:
Pm: 0.5000 0.0000 0.0000  6 Bi 3.22-3.23
Pm: 0.0000 0.0000 0.5000  6 Bi 3.23
Pm: 0.0000 0.5000 0.0000  6 Bi 3.23
Pm: 0.0000 0.0000 0.0000  6 Bi 3.28
Nd: 0.5000 0.0000 0.5000  6 Bi 3.23
Nd: 0.5000 0.5000 0.5000  6 Bi 3.24
Nd: 0.5000 0.5000 0.0000  6 Bi 3.23
Bi: 0.5069 0.2527 0.2527  2 Pm 3.22-3.28, 3 Nd 3.23-3.24
Bi: 0.0016 0.7471 0.7471  4 Pm 3.22-3.28, 1 Nd 3.24
Bi: 0.0000 0.2536 0.7464  3 Pm 3.23-3.28, 2 Nd 3.23
Bi: 0.0000 0.7464 0.2536  3 Pm 3.23-3.28, 2 Nd 3.23
Bi: 0.4931 0.7473 0.7473  2 Pm 3.22-3.28, 3 Nd 3.23-3.24
Bi: 0.5000 0.7506 0.2494  3 Pm 3.23, 3 Nd 3.23-3.24
Bi: 0.9984 0.2529 0.2529  4 Pm 3.22-3.28, 1 Nd 3.24
Bi: 0.5000 0.2494 0.7506  3 Pm 3.23, 3 Nd 3.23-3.24

Computed properties:
Spin magnetization: 0.0 μB/cell
Electronic total energy: -5.03 eV/atom
SG: C2/m (12)



(7)
Below is crystalline PmNdBi6 at its relaxed geometry, with properties calculated at the PBE level.

a = 4.6972 Å, b = 4.6895 Å, c = 11.9181 Å
α = 90.00°, β = 101.37°, γ = 90.00°
With the nearest neighbours (Å) after each atom.
Sites, in units of the cell vectors:
Bi: 0.5594 0.5000 0.1188  6 Bi 3.32-3.62, 2 Pm 3.59
Bi: 0.3135 0.5000 0.6270  1 Pm 3.22, 4 Nd 3.33
Bi: 0.9341 0.5000 0.8683  6 Bi 3.32-3.67, 2 Nd 3.48
Bi: 0.0661 0.0000 0.1321  6 Bi 3.32-3.65, 2 Pm 3.47
Bi: 0.4415 0.0000 0.8830  6 Bi 3.32-3.62, 2 Nd 3.61
Bi: 0.6856 0.0000 0.3713  1 Nd 3.23, 4 Pm 3.33
Pm: 0.1758 0.5000 0.3515  9 Bi 3.22-3.59
Nd: 0.8240 0.0000 0.6480  9 Bi 3.23-3.61

Computed properties:
Spin magnetization: 0.0 μB/cell
Electronic total energy: -4.48 eV/atom
SG: Amm2 (38)



(8)
Below is crystalline PmNd4Bi5 at its relaxed geometry, with properties calculated at the PBE level.

a = 4.6076 Å, b = 6.5046 Å, c = 12.1723 Å
α = 105.50°, β = 100.91°, γ = 90.00°
With the nearest neighbours (Å) after each atom.
Sites, in units of the cell vectors:
Nd: 0.4000 0.4000 0.8001  6 Bi 3.25-3.26
Nd: 0.1997 0.1997 0.3994  6 Bi 3.25-3.26
Nd: 0.8003 0.8003 0.6006  6 Bi 3.25-3.26
Nd: 0.6000 0.6000 0.1999  6 Bi 3.25-3.26
Bi: 0.0000 0.5000 0.0000  2 Pm 3.25, 4 Nd 3.25
Bi: 0.5993 0.0993 0.1986  2 Pm 3.24, 4 Nd 3.25-3.26
Bi: 0.7999 0.2999 0.5998  6 Nd 3.25-3.26
Bi: 0.2001 0.7001 0.4002  6 Nd 3.25-3.26
Bi: 0.4007 0.9007 0.8014  2 Pm 3.24, 4 Nd 3.25-3.26
Pm: 0.0000 0.0000 0.0000  6 Bi 3.24-3.25

Computed properties:
Spin magnetization: 0.0 μB/cell
Electronic total energy: -5.27 eV/atom
SG: Immm (71)